1.
MgScTe2 | GGA-PBE | relaxed

Output
E_form (uncorrected): -925 meV per atom
density: 5.12 Mg/m³

Unit cell a=4.0886 b=4.0886 c=21.8138 alpha=90.00 beta=90.00 gamma=120.00
Space group R3m (No. 160, hexagonal axes)
One atom of each set of equivalent atoms:
Mg  0.0000  0.0000  0.0000 (multiplicity 3)
Sc  0.0000  0.0000  0.8350 (multiplicity 3)
Te  0.0000  0.0000  0.4146 (multiplicity 3)
Te  0.0000  0.0000  0.5850 (multiplicity 3)

=====

2.
MgScTe2 | GGA-PBE | relaxed

Output
E_form (uncorrected): -780 meV per atom
density: 3.85 Mg/m³

Unit cell a=4.5131 b=4.5131 c=7.9376 alpha=90.00 beta=90.00 gamma=120.00
Space group P3m1 (No. 156)
One atom of each set of equivalent atoms:
Mg  0.0000  0.0000  0.0000 (multiplicity 1)
Sc  0.6667  0.3333  0.5108 (multiplicity 1)
Te  0.0000  0.0000  0.3586 (multiplicity 1)
Te  0.6667  0.3333  0.8737 (multiplicity 1)

=====

3.
MgSc2Te | GGA-PBE | relaxed

Output
E_form (uncorrected): -445 meV per atom
density: 4.36 Mg/m³
polymorph energy (0 for the lowest one): 54.2 meV/atom

Unit cell a=3.873 b=4.630 c=10.276 alpha=90.00 beta=90.00 gamma=90.00
Space group Imm2 (No. 44)
One atom of each set of equivalent atoms:
Mg  0.000  0.000  0.000 (multiplicity 2)
Sc  0.000  0.000  0.516 (multiplicity 2)
Sc  0.000  0.500  0.761 (multiplicity 2)
Te  0.000  0.500  0.258 (multiplicity 2)

=====

4.
MgSc2Te | GGA-PBE | relaxed

Output
E_form (uncorrected): -429 meV per atom
density: 3.89 Mg/m³
polymorph energy (0 for the lowest one): 69.5 meV/atom

Unit cell a=3.7931 b=3.7931 c=24.8551 alpha=90.00 beta=90.00 gamma=120.00
Space group R-3m (No. 166, hexagonal axes)
One atom of each set of equivalent atoms:
Mg  0.0000  0.0000  0.0000 (multiplicity 3)
Sc  0.0000  0.0000  0.2423 (multiplicity 6)
Te  0.0000  0.0000  0.5000 (multiplicity 3)